The following is a GGA-PBE calculation of a relaxed structure of PaTiMnRe, from the Alexandria database.

Properties
Total magnetization   0.88 μB per cell
Formation enthalpy at 0 K   -0.32 eV per formula unit
Calculated density   12.60 g/cm3

Lattice parameters (Å, degrees): 4.593 4.593 4.593 60.00 60.00 60.00
Site moments in Bohr magnetons follow the coordinates.
Element x y z (fractional)
Re: 0.250 0.250 0.250  0.15
Pa: 0.500 0.500 0.500  -0.31
Mn: 0.750 0.750 0.750  1.64
Ti: 0.000 0.000 0.000  -0.48